TlB: relaxed, PBE-GGA.

abc: 5.2066 11.6486 4.2659
angles: 90.00 90.00 90.00
Closest atoms and distances in Å follow each position.
Space group Imm2 (No. 44)
One atom of each set of equivalent atoms:
1 Tl 0.0000 0.0000 0.0000 (multiplicity 2)  2 B 2.91
2 Tl 0.0000 0.2950 0.2930 (multiplicity 4)  2 B 2.27-2.28
3 B 0.0000 0.3640 0.7941 (multiplicity 4)  1 B 1.59
4 B 0.0000 0.5000 0.8032 (multiplicity 2)  2 B 1.59

Results
* magnetization: 0.000 μB per formula unit
* energy of formation: 0.82 eV per atom
* volume: 21.56 Å³ per atom



MnV3Pt: relaxed, PBE-GGA.

abc: 4.2448 4.2448 4.2448
angles: 90.00 90.00 90.00
Closest atoms and distances in Å follow each position.
Space group Pm-3m (No. 221)
One atom of each set of equivalent atoms:
1 Mn 0.0000 0.0000 0.0000 (multiplicity 1)  6 V 2.12
2 V 0.0000 0.0000 0.5000 (multiplicity 3)  2 Mn 2.12
3 Pt 0.5000 0.5000 0.5000 (multiplicity 1)  12 V 3.00

Results
* magnetization: 0.002 μB per formula unit
* energy of formation: 0.56 eV per atom
* volume: 15.30 Å³ per atom



YCuAu: relaxed, PBE-GGA.

abc: 16.9912 3.6407 3.9475
angles: 90.00 90.11 90.00
Closest atoms and distances in Å follow each position.
Space group Cm (No. 8)
One atom of each set of equivalent atoms:
1 Y 0.0000 0.0000 0.0000 (multiplicity 2)  5 Au 2.92-2.96, 4 Cu 3.08
2 Y 0.2395 0.0000 0.5024 (multiplicity 2)  5 Cu 2.91-2.94, 4 Au 3.08
3 Cu 0.1693 0.5000 0.0015 (multiplicity 2)  3 Au 2.56-2.70
4 Cu 0.4107 0.0000 0.4992 (multiplicity 2)  5 Au 2.76-3.04, 5 Y 2.91-3.08
5 Au 0.0730 0.5000 0.5006 (multiplicity 2)  3 Cu 2.56-2.76
6 Au 0.3282 0.5000 0.0037 (multiplicity 2)  3 Cu 2.70-3.02, 1 Y 2.92

Results
* magnetization: 0.000 μB per formula unit
* energy of formation: -0.53 eV per atom
* volume: 20.35 Å³ per atom



HoMgScCd: relaxed, PBE-GGA.

abc: 7.3075 7.3075 7.3075
angles: 90.00 90.00 90.00
Closest atoms and distances in Å follow each position.
Space group F-43m (No. 216)
One atom of each set of equivalent atoms:
1 Ho 0.0000 0.0000 0.0000 (multiplicity 4)  4 Cd 3.16, 4 Mg 3.16
2 Mg 0.2500 0.2500 0.2500 (multiplicity 4)  4 Ho 3.16, 4 Sc 3.16
3 Sc 0.0000 0.0000 0.5000 (multiplicity 4)  4 Cd 3.16, 4 Mg 3.16
4 Cd 0.2500 0.2500 0.7500 (multiplicity 4)  4 Ho 3.16, 4 Sc 3.16

Results
* magnetization: 0.006 μB per formula unit
* energy of formation: -0.18 eV per atom
* volume: 24.39 Å³ per atom



Y4SnSbN: relaxed, PBE-GGA.

abc: 6.6133 16.0956 6.6060
angles: 90.00 90.00 90.00
Closest atoms and distances in Å follow each position.
Space group Cmcm (No. 63)
One atom of each set of equivalent atoms:
1 Y 0.0000 0.0876 0.2500 (multiplicity 4)  1 N 2.60
2 Y 0.0000 0.4121 0.2500 (multiplicity 4)  1 N 2.62
3 Y 0.2500 0.2500 0.0000 (multiplicity 8)  2 N 2.34
4 Sn 0.0000 0.1072 0.7500 (multiplicity 4)  9 Y 3.14-3.32
5 Sb 0.0000 0.3923 0.7500 (multiplicity 4)  9 Y 3.15-3.32
6 N 0.0000 0.2490 0.2500 (multiplicity 4)  5 Y 2.34-2.60

Results
* magnetization: 0.054 μB per formula unit
* uncorrected formation energy: -1.0536 eV/atom
* volume: 25.11 Å³ per atom



CoReW2: relaxed, PBE-GGA.

abc: 3.1846 3.1846 5.7429
angles: 90.00 90.00 90.00
Closest atoms and distances in Å follow each position.
Space group P4/mmm (No. 123)
One atom of each set of equivalent atoms:
1 Co 0.0000 0.0000 0.0000 (multiplicity 1)  8 W 2.62, 2 Re 2.87
2 Re 0.0000 0.0000 0.5000 (multiplicity 1)  8 W 2.72, 2 Co 2.87
3 W 0.5000 0.5000 0.2336 (multiplicity 2)  4 Co 2.62, 1 W 2.68, 4 Re 2.72

Results
* magnetization: 0.727 μB per formula unit
* energy of formation: 0.16 eV per atom
* volume: 14.56 Å³ per atom



TmSc5P6: relaxed, PBE-GGA.

abc: 6.5668 11.3726 6.5644
angles: 90.00 109.49 90.00
Closest atoms and distances in Å follow each position.
Space group C2/m (No. 12)
One atom of each set of equivalent atoms:
1 Tm 0.0000 0.0000 0.0000 (multiplicity 2)  6 P 2.73
2 Sc 0.0000 0.1651 0.5000 (multiplicity 4)  6 P 2.64-2.68
3 Sc 0.0000 0.3329 0.0000 (multiplicity 4)  6 P 2.68
4 Sc 0.0000 0.5000 0.5000 (multiplicity 2)  6 P 2.63-2.68
5 P 0.2452 0.3301 0.7456 (multiplicity 8)  5 Sc 2.64-2.68, 1 Tm 2.73
6 P 0.2446 0.5000 0.2533 (multiplicity 4)  5 Sc 2.63-2.68, 1 Tm 2.73

Results
* magnetization: 0.000 μB per formula unit
* energy of formation: -1.50 eV per atom
* volume: 19.26 Å³ per atom



Rb2Cd2O3: relaxed, PBE-GGA.

abc: 13.1370 3.8534 6.6844
angles: 90.00 118.92 90.00
Closest atoms and distances in Å follow each position.
Space group C2/m (No. 12)
One atom of each set of equivalent atoms:
1 Rb 0.0987 0.0000 0.3217 (multiplicity 4)  5 O 2.88-3.02
2 Cd 0.1683 0.5000 0.8051 (multiplicity 4)  4 O 2.16-2.32
3 O 0.0000 0.5000 0.5000 (multiplicity 2)  2 Cd 2.16
4 O 0.2311 0.5000 0.1852 (multiplicity 4)  3 Cd 2.26-2.32

Results
* magnetization: 0.000 μB per formula unit
* uncorrected formation energy: -1.0787 eV/atom
* volume: 21.16 Å³ per atom



NdSmEr2Se6: relaxed, PBE-GGA.

abc: 7.2941 7.2941 19.4604
angles: 90.00 90.00 120.00
Closest atoms and distances in Å follow each position.
Space group R3 (No. 146, hexagonal axes)
One atom of each set of equivalent atoms:
1 Nd 0.0000 0.0000 0.0000 (multiplicity 3)  6 Se 2.93-3.02
2 Sm 0.0000 0.0000 0.4978 (multiplicity 3)  6 Se 2.91-2.98
3 Er 0.0000 0.0000 0.2987 (multiplicity 3)  6 Se 2.82-2.88
4 Er 0.0000 0.0000 0.8000 (multiplicity 3)  6 Se 2.82-2.88
5 Se 0.0170 0.3118 0.8942 (multiplicity 9)  2 Er 2.82-2.88, 1 Sm 2.91, 1 Nd 3.02
6 Se 0.0215 0.6435 0.0609 (multiplicity 9)  2 Er 2.82-2.88, 1 Nd 2.93, 1 Sm 2.98

Results
* magnetization: 0.000 μB per formula unit
* uncorrected formation energy: -1.8423 eV/atom
* volume: 29.89 Å³ per atom



FeTeSe: relaxed, PBE-GGA.

abc: 3.5845 3.5845 5.8017
angles: 90.00 90.00 120.00
Closest atoms and distances in Å follow each position.
Space group P3m1 (No. 156)
One atom of each set of equivalent atoms:
1 Fe 0.0000 0.0000 0.0000 (multiplicity 1)  3 Se 2.41, 3 Te 2.60
2 Te 0.6667 0.3333 0.7296 (multiplicity 1)  3 Fe 2.60
3 Se 0.3333 0.6667 0.2120 (multiplicity 1)  3 Fe 2.41

Results
* magnetization: 1.381 μB per formula unit
* uncorrected formation energy: -0.1351 eV/atom
* volume: 21.52 Å³ per atom



Nd8Ir3PdCl4: relaxed, PBE-GGA.

abc: 8.3017 8.3017 22.5818
angles: 90.00 90.00 120.00
Closest atoms and distances in Å follow each position.
Space group R-3m (No. 166, hexagonal axes)
One atom of each set of equivalent atoms:
1 Nd 0.0000 0.0000 0.2348 (multiplicity 6)  3 Ir 2.85
2 Nd 0.0086 0.5043 0.7650 (multiplicity 18)  2 Ir 2.83, 1 Pd 2.90
3 Ir 0.0000 0.5000 0.5000 (multiplicity 9)  6 Nd 2.83-2.85
4 Pd 0.0000 0.0000 0.5000 (multiplicity 3)  6 Nd 2.90
5 Cl 0.0000 0.0000 0.0000 (multiplicity 3)  6 Nd 3.22
6 Cl 0.0000 0.5000 0.0000 (multiplicity 9)  6 Nd 3.27-3.29

Results
* magnetization: 0.000 μB per formula unit
* uncorrected formation energy: -1.1808 eV/atom
* volume: 28.08 Å³ per atom



EuScNiPt: relaxed, PBE-GGA.

abc: 6.7915 6.7915 6.7915
angles: 90.00 90.00 90.00
Closest atoms and distances in Å follow each position.
Space group F-43m (No. 216)
One atom of each set of equivalent atoms:
1 Eu 0.0000 0.0000 0.0000 (multiplicity 4)  4 Ni 2.94, 4 Pt 2.94
2 Sc 0.0000 0.0000 0.5000 (multiplicity 4)  4 Pt 2.94, 4 Ni 2.94
3 Ni 0.2500 0.2500 0.2500 (multiplicity 4)  4 Sc 2.94, 4 Eu 2.94
4 Pt 0.2500 0.2500 0.7500 (multiplicity 4)  4 Eu 2.94, 4 Sc 2.94

Results
* magnetization: 6.977 μB per formula unit
* energy of formation: -0.56 eV per atom
* volume: 19.58 Å³ per atom



Q: What is the volume in the eleventh record?
A: 28.08 Å³ per atom